[1]
First-principles (PBE-GGA) data for a relaxed structure of BaEuDyMg, as listed in Alexandria via LeMat-Bulk.

Symmetry   No. 216
ρ   5.3 Mg/m³
DFT formation energy   0.16 eV/atom
Energy   -17.8 eV for the cell shown
Crystal system   cubic

Lattice parameters (Å, degrees): 5.949 5.949 5.949 60.00 60.00 60.00
Site moments in Bohr magnetons follow the coordinates.
Element x y z (fractional)
Eu  0.500  0.500  0.500  6.93
Mg  0.000  0.000  0.000  -0.01
Ba  0.750  0.750  0.750  0.04
Dy  0.250  0.250  0.250  0.17


[2]
First-principles (PBE-GGA) data for a relaxed structure of Nd2SmDy3Ho6, as listed in Alexandria via LeMat-Bulk.

Symmetry   No. 12
ρ   8.3 Mg/m³
DFT formation energy   0.02 eV/atom
Energy   -55.3 eV for the cell shown
Crystal system   monoclinic

Lattice parameters (Å, degrees): 6.174 6.174 11.776 95.00 95.00 119.97
Element x y z (fractional)
Nd  0.333  0.667  0.000
Nd  0.667  0.333  0.000
Sm  0.000  0.000  0.000
Dy  0.167  0.833  0.500
Dy  0.833  0.167  0.500
Dy  0.500  0.500  0.500
Ho  0.915  0.582  0.747
Ho  0.752  0.752  0.253
Ho  0.085  0.418  0.253
Ho  0.582  0.915  0.747
Ho  0.248  0.248  0.747
Ho  0.418  0.085  0.253


[3]
First-principles (PBE-GGA) data for a relaxed structure of Ce2PmSmS4, as listed in Alexandria via LeMat-Bulk.

Symmetry   No. 10
ρ   6.3 Mg/m³
Uncorrected formation energy   -16.34 eV/f.u.
Energy   -54.2 eV for the cell shown
Crystal system   monoclinic

Lattice parameters (Å, degrees): 4.018 6.969 6.982 109.39 90.00 90.00
Site moments in Bohr magnetons follow the coordinates.
Element x y z (fractional)
Ce  0.500  0.000  0.500  0.66
Ce  0.000  0.500  0.500  0.68
Pm  0.500  0.500  0.000  0.00
Sm  0.000  0.000  0.000  0.00
S  0.500  0.248  0.248  -0.01
S  0.500  0.752  0.752  -0.01
S  0.000  0.249  0.751  -0.01
S  0.000  0.751  0.249  -0.01


[4]
First-principles (PBE-GGA) data for a relaxed structure of Ba3Bi2H, as listed in Alexandria via LeMat-Bulk.

Symmetry   No. 62
ρ   5.8 Mg/m³
Relative energy among the computed polymorphs   28 meV/atom
Energy   -85.9 eV for the cell shown
Crystal system   orthorhombic

Lattice parameters (Å, degrees): 4.679 10.151 20.067 90.00 90.00 90.00
Element x y z (fractional)
Ba  0.250  0.323  0.776
Ba  0.750  0.677  0.224
Ba  0.750  0.177  0.276
Ba  0.250  0.823  0.724
Ba  0.750  0.983  0.894
Ba  0.250  0.017  0.106
Ba  0.250  0.517  0.394
Ba  0.750  0.483  0.606
Ba  0.250  0.122  0.578
Ba  0.750  0.878  0.422
Ba  0.750  0.378  0.078
Ba  0.250  0.622  0.922
Bi  0.250  0.247  0.957
Bi  0.750  0.753  0.043
Bi  0.750  0.253  0.457
Bi  0.250  0.747  0.543
Bi  0.750  0.092  0.716
Bi  0.250  0.908  0.284
Bi  0.250  0.408  0.216
Bi  0.750  0.592  0.784
H  0.250  0.364  0.637
H  0.750  0.636  0.363
H  0.750  0.136  0.137
H  0.250  0.864  0.863